Record 1
Below is a geometry-optimized ScRe2RhF structure, with properties calculated at the PBE-GGA level.

Calculated values
N(E_F): 1.135 states/eV per atom
ρ: 11.47 g/cm3
Formation energy (no corrections): 59.74 kJ/mol of atoms
M_tot: 0.000 μB/atom
Space group: P4/mmm, No. 123

abc: 4.0694 4.7155 4.0694
angles: 90.00 90.00 90.00
Element x y z (fractional)
Rh (0.0000, 0.5000, 0.0000)
Re (0.0000, 0.0000, 0.5000)
Re (0.5000, 0.0000, 0.0000)
Sc (0.5000, 0.5000, 0.5000)
F (0.0000, 0.0000, 0.0000)



Record 2
Below is a geometry-optimized La3YCd2 structure, with properties calculated at the PBE-GGA level.

Calculated values
E_tot: -4.062 eV per atom
N(E_F): 0.778 states/eV per atom
ρ: 6.36 g/cm3
M_tot: 0.000 μB/atom
Space group: Pmc2_1, No. 26

abc: 5.4909 7.0289 9.8778
angles: 90.00 90.00 90.00
Element x y z (fractional)
La (0.5000, 0.6903, 0.1767)
Cd (0.0000, 0.7795, 0.3535)
La (0.0000, 0.3049, 0.3273)
Cd (0.5000, 0.7205, 0.8432)
La (0.0000, 0.8049, 0.6727)
Cd (0.5000, 0.2205, 0.1568)
Cd (0.0000, 0.2795, 0.6465)
La (0.0000, 0.9907, 0.0493)
Y (0.5000, 0.0141, 0.4575)
Y (0.5000, 0.5141, 0.5425)
La (0.5000, 0.1903, 0.8233)
La (0.0000, 0.4907, 0.9507)



Record 3
Below is a geometry-optimized Mn3FeH4 structure, with properties calculated at the PBE-GGA level.

Calculated values
E_tot: -6.217 eV per atom
N(E_F): 0.318 states/eV per atom
ρ: 7.01 g/cm3
M_tot: 0.312 μB/atom
Space group: I4/mmm, No. 139

abc: 3.7656 3.7656 4.6036
angles: 114.14 114.14 90.00
Site moments in Bohr magnetons follow the coordinates.
Element x y z (fractional)
Mn (0.5000, 0.5000, 0.0000)  -2.63
Mn (0.7500, 0.2500, 0.5000)  1.81
H (0.0000, 0.5000, 0.0000)  0.00
H (0.2359, 0.2359, 0.4719)  -0.02
H (0.5000, 0.0000, 0.0000)  0.00
Fe (0.0000, 0.0000, 0.0000)  1.57
Mn (0.2500, 0.7500, 0.5000)  1.81
H (0.7641, 0.7641, 0.5281)  -0.02



Record 4
Below is a geometry-optimized P2IrPt2 structure, with properties calculated at the PBE-GGA level.

Calculated values
E_tot: -6.070 eV per atom
N(E_F): 0.685 states/eV per atom
ρ: 13.52 g/cm3
M_tot: 0.000 μB/atom
Space group: I4/mmm, No. 139

abc: 6.2779 6.2779 6.2779
angles: 145.47 145.47 49.63
Element x y z (fractional)
Pt (0.6171, 0.6171, 0.0000)
P (0.2500, 0.7500, 0.5000)
Ir (0.0000, 0.0000, 0.0000)
Pt (0.3829, 0.3829, 0.0000)
P (0.7500, 0.2500, 0.5000)



Record 5
Below is a geometry-optimized CeYGa4 structure, with properties calculated at the PBE-GGA level.

Calculated values
E_tot: -4.706 eV per atom
N(E_F): 1.151 states/eV per atom
ρ: 6.47 g/cm3
M_tot: 0.084 μB/atom
Space group: I-4m2, No. 119

abc: 4.2092 4.2092 7.9393
angles: 105.37 105.37 90.00
Site moments in Bohr magnetons follow the coordinates.
Element x y z (fractional)
Ga (0.8325, 0.3325, 0.6650)  -0.01
Ga (0.6675, 0.1675, 0.3350)  -0.01
Y (0.2500, 0.7500, 0.5000)  -0.02
Ce (0.0000, 0.0000, 0.0000)  0.52
Ga (0.4166, 0.4166, 0.8332)  -0.01
Ga (0.5834, 0.5834, 0.1668)  -0.01



Record 6
Below is a geometry-optimized KCdB3O6 structure, with properties calculated at the PBE-GGA level.

Calculated values
N(E_F): 0.000 states/eV per atom
ρ: 3.07 g/cm3
Formation energy (no corrections): -210.24 kJ/mol of atoms
M_tot: 0.000 μB/atom
Space group: C2/c, No. 15

abc: 7.6314 7.6314 12.9387
angles: 81.87 81.87 122.83
Element x y z (fractional)
O (0.2791, 0.4114, 0.0617)
O (0.7472, 0.0979, 0.4126)
O (0.5175, 0.0863, 0.1295)
B (0.1602, 0.1864, 0.3439)
B (0.9246, 0.7668, 0.9114)
O (0.2250, 0.3571, 0.8168)
Cd (0.6229, 0.4780, 0.3770)
B (0.9281, 0.3159, 0.3736)
K (0.8356, 0.3168, 0.8694)
O (0.9021, 0.2528, 0.0874)
B (0.1864, 0.1602, 0.8439)
Cd (0.3771, 0.5220, 0.6230)
Cd (0.5220, 0.3771, 0.1230)
B (0.3159, 0.9281, 0.8736)
O (0.0258, 0.0274, 0.6213)
B (0.0719, 0.6841, 0.6264)
O (0.3541, 0.1318, 0.8378)
B (0.7668, 0.9246, 0.4114)
K (0.3168, 0.8356, 0.3694)
O (0.1318, 0.3541, 0.3378)
B (0.6841, 0.0719, 0.1264)
K (0.1644, 0.6832, 0.1306)
O (0.0979, 0.7472, 0.9126)
O (0.8682, 0.6459, 0.6622)
O (0.9742, 0.9726, 0.3787)
B (0.2332, 0.0754, 0.5886)
O (0.4825, 0.9137, 0.8705)
B (0.8136, 0.8398, 0.1561)
O (0.0863, 0.5175, 0.6295)
Cd (0.4780, 0.6229, 0.8770)
O (0.7209, 0.5886, 0.9383)
O (0.5886, 0.7209, 0.4383)
O (0.6429, 0.7750, 0.6832)
K (0.6832, 0.1644, 0.6306)
O (0.7750, 0.6429, 0.1832)
O (0.9726, 0.9742, 0.8787)
O (0.6459, 0.8682, 0.1622)
O (0.9137, 0.4825, 0.3705)
O (0.4114, 0.2791, 0.5617)
O (0.3571, 0.2250, 0.3168)
B (0.8398, 0.8136, 0.6561)
B (0.0754, 0.2332, 0.0886)
O (0.2528, 0.9021, 0.5874)
O (0.0274, 0.0258, 0.1213)



Record 7
Below is a geometry-optimized HfCd2Hg2 structure, with properties calculated at the PBE-GGA level.

Calculated values
E_tot: -2.284 eV per atom
N(E_F): 0.554 states/eV per atom
ρ: 11.87 g/cm3
M_tot: 0.000 μB/atom
Space group: P4/mbm, No. 127

abc: 8.1062 8.1062 3.4246
angles: 90.00 90.00 90.00
Element x y z (fractional)
Hg (0.6354, 0.1354, 0.0000)
Hg (0.1354, 0.3646, 0.0000)
Hg (0.3646, 0.8646, 0.0000)
Cd (0.3326, 0.1674, 0.5000)
Cd (0.1674, 0.6674, 0.5000)
Hg (0.8646, 0.6354, 0.0000)
Hf (0.0000, 0.0000, 0.0000)
Hf (0.5000, 0.5000, 0.0000)
Cd (0.6674, 0.8326, 0.5000)
Cd (0.8326, 0.3326, 0.5000)



Record 8
Below is a geometry-optimized Nb3SiTc4 structure, with properties calculated at the PBE-GGA level.

Calculated values
N(E_F): 0.503 states/eV per atom
ρ: 9.33 g/cm3
Formation energy (no corrections): -34.88 kJ/mol of atoms
M_tot: 0.000 μB/atom
Space group: P4/mmm, No. 123

abc: 3.1687 3.1687 12.3920
angles: 90.00 90.00 90.00
Element x y z (fractional)
Nb (0.5000, 0.5000, 0.2392)
Nb (0.5000, 0.5000, 0.5000)
Tc (0.0000, 0.0000, 0.1141)
Nb (0.5000, 0.5000, 0.7608)
Tc (0.0000, 0.0000, 0.3709)
Tc (0.0000, 0.0000, 0.6291)
Tc (0.0000, 0.0000, 0.8859)
Si (0.5000, 0.5000, 0.0000)



Record 9
Below is a geometry-optimized NpAs3Pd3 structure, with properties calculated at the PBE-GGA level.

Calculated values
E_tot: -6.425 eV per atom
N(E_F): 2.010 states/eV per atom
ρ: 10.08 g/cm3
M_tot: 0.499 μB/atom
Space group: P6_3/m, No. 176

abc: 4.4340 8.1864 8.1864
angles: 120.00 90.00 90.00
Site moments in Bohr magnetons follow the coordinates.
Element x y z (fractional)
As (0.2500, 0.5961, 0.9347)  -0.05
Pd (0.7500, 0.7715, 0.9698)  -0.01
As (0.7500, 0.4039, 0.0653)  -0.05
Np (0.7500, 0.3333, 0.6667)  3.61
Pd (0.2500, 0.9698, 0.1983)  -0.01
Pd (0.7500, 0.0302, 0.8017)  -0.01
As (0.7500, 0.6614, 0.5961)  -0.05
Np (0.2500, 0.6667, 0.3333)  3.61
Pd (0.2500, 0.8017, 0.7715)  -0.01
As (0.7500, 0.9347, 0.3386)  -0.05
Pd (0.7500, 0.1983, 0.2285)  -0.01
As (0.2500, 0.0653, 0.6614)  -0.05
As (0.2500, 0.3386, 0.4039)  -0.05
Pd (0.2500, 0.2285, 0.0302)  -0.01



Record 10
Below is a geometry-optimized CsTc2P2 structure, with properties calculated at the PBE-GGA level.

Calculated values
E_tot: -6.608 eV per atom
N(E_F): 0.769 states/eV per atom
ρ: 5.70 g/cm3
M_tot: 0.000 μB/atom
Space group: P4/mmm, No. 123

abc: 3.8445 3.8445 7.7012
angles: 90.00 90.00 90.00
Element x y z (fractional)
P (0.5000, 0.5000, 0.3015)
Tc (0.5000, 0.0000, 0.5000)
P (0.5000, 0.5000, 0.6985)
Cs (0.0000, 0.0000, 0.0000)
Tc (0.0000, 0.5000, 0.5000)



Record 11
Below is a geometry-optimized BeTe2IrN structure, with properties calculated at the PBE-GGA level.

Calculated values
N(E_F): 0.873 states/eV per atom
ρ: 9.45 g/cm3
Formation energy (no corrections): 55.29 kJ/mol of atoms
M_tot: 0.000 μB/atom
Space group: P4/mmm, No. 123

abc: 5.1983 5.1983 3.0590
angles: 90.00 90.00 90.00
Element x y z (fractional)
Ir (0.5000, 0.5000, 0.5000)
Te (0.5000, 0.0000, 0.0000)
N (0.0000, 0.0000, 0.5000)
Te (0.0000, 0.5000, 0.0000)
Be (0.0000, 0.0000, 0.0000)



Record 12
Below is a geometry-optimized Be3SnAs structure, with properties calculated at the PBE-GGA level.

Calculated values
E_tot: -3.219 eV per atom
N(E_F): 0.670 states/eV per atom
ρ: 4.37 g/cm3
M_tot: 0.000 μB/atom
Space group: Pm-3m, No. 221

abc: 4.3754 4.3754 4.3754
angles: 90.00 90.00 90.00
Element x y z (fractional)
As (0.0000, 0.0000, 0.0000)
Be (0.0000, 0.0000, 0.5000)
Sn (0.5000, 0.5000, 0.5000)
Be (0.0000, 0.5000, 0.0000)
Be (0.5000, 0.0000, 0.0000)



Record 13
Below is a geometry-optimized ReHgGe2 structure, with properties calculated at the PBE-GGA level.

Calculated values
E_tot: -4.740 eV per atom
N(E_F): 0.566 states/eV per atom
ρ: 8.41 g/cm3
M_tot: 0.000 μB/atom
Space group: I-42d, No. 122

abc: 5.9622 5.9622 7.2624
angles: 65.76 65.76 90.00
Element x y z (fractional)
Re (0.5000, 0.5000, 0.0000)
Ge (0.8750, 0.8151, 0.7500)
Re (0.2500, 0.7500, 0.5000)
Hg (0.0000, 0.0000, 0.0000)
Ge (0.1849, 0.6250, 0.2500)
Ge (0.3750, 0.4349, 0.7500)
Ge (0.5651, 0.1250, 0.2500)
Hg (0.7500, 0.2500, 0.5000)



Record 14
Below is a geometry-optimized SmTiNbBi2O9 structure, with properties calculated at the PBE-GGA level.

Calculated values
N(E_F): 0.000 states/eV per atom
ρ: 7.39 g/cm3
Formation energy (no corrections): -233.39 kJ/mol of atoms
M_tot: 0.000 μB/atom
Space group: P2_1, No. 4

abc: 5.5271 5.4573 12.9804
angles: 78.33 90.00 90.00
Element x y z (fractional)
O (0.2194, 0.7385, 0.5014)
Bi (0.9494, 0.9785, 0.6011)
O (0.5472, 0.6796, 0.3060)
O (0.2707, 0.0202, 0.8809)
O (0.0472, 0.3204, 0.6940)
O (0.0759, 0.3372, 0.0002)
O (0.7707, 0.9798, 0.1191)
O (0.5397, 0.9819, 0.6886)
O (0.5759, 0.6628, 0.9998)
Ti (0.0284, 0.3338, 0.8318)
O (0.7725, 0.0966, 0.8802)
Nb (0.5334, 0.8217, 0.8317)
O (0.8524, 0.4754, 0.1721)
O (0.7192, 0.7603, 0.5010)
O (0.2725, 0.9034, 0.1198)
O (0.3524, 0.5246, 0.8279)
O (0.2192, 0.2397, 0.4990)
O (0.8565, 0.6370, 0.8281)
O (0.7194, 0.2615, 0.4986)
Sm (0.4960, 0.2420, 0.0001)
O (0.3565, 0.3630, 0.1719)
Nb (0.0334, 0.1783, 0.1683)
Bi (0.4494, 0.0215, 0.3989)
O (0.0397, 0.0181, 0.3114)
Sm (0.9960, 0.7580, 0.9999)
Bi (0.4403, 0.4248, 0.6027)
Ti (0.5284, 0.6662, 0.1682)
Bi (0.9403, 0.5752, 0.3973)



Record 15
Below is a geometry-optimized InSiGeS2 structure, with properties calculated at the PBE-GGA level.

Calculated values
N(E_F): 1.130 states/eV per atom
ρ: 3.88 g/cm3
Formation energy (no corrections): 66.44 kJ/mol of atoms
M_tot: 0.000 μB/atom
Space group: P4/mmm, No. 123

abc: 4.8097 5.1756 4.8097
angles: 90.00 90.00 90.00
Element x y z (fractional)
S (0.5000, 0.0000, 0.0000)
In (0.0000, 0.5000, 0.0000)
S (0.0000, 0.0000, 0.5000)
Si (0.5000, 0.5000, 0.5000)
Ge (0.0000, 0.0000, 0.0000)



Record 16
Below is a geometry-optimized CeSc2Al structure, with properties calculated at the PBE-GGA level.

Calculated values
E_tot: -5.788 eV per atom
N(E_F): 1.355 states/eV per atom
ρ: 4.67 g/cm3
M_tot: 0.069 μB/atom
Space group: P4/mmm, No. 123

abc: 3.2456 3.2456 8.6708
angles: 90.00 90.00 90.00
Site moments in Bohr magnetons follow the coordinates.
Element x y z (fractional)
Sc (0.0000, 0.0000, 0.2157)  0.00
Sc (0.0000, 0.0000, 0.7843)  0.00
Al (0.5000, 0.5000, 0.0000)  0.00
Ce (0.5000, 0.5000, 0.5000)  0.24



Record 17
Below is a geometry-optimized YThMg4 structure, with properties calculated at the PBE-GGA level.

Calculated values
E_tot: -3.390 eV per atom
N(E_F): 0.872 states/eV per atom
ρ: 4.36 g/cm3
M_tot: 0.000 μB/atom
Space group: Immm, No. 71

abc: 5.2371 6.2145 6.2145
angles: 93.48 114.90 114.90
Element x y z (fractional)
Mg (0.2489, 0.0820, 0.9158)
Th (0.5000, 0.0000, 0.5000)
Mg (0.2489, 0.4158, 0.5820)
Mg (0.7511, 0.5842, 0.4180)
Mg (0.7511, 0.9180, 0.0842)
Y (0.0000, 0.5000, 0.0000)



Record 18
Below is a geometry-optimized PmErHg5 structure, with properties calculated at the PBE-GGA level.

Calculated values
E_tot: -1.815 eV per atom
N(E_F): 0.474 states/eV per atom
ρ: 11.63 g/cm3
M_tot: 0.000 μB/atom
Space group: Cmmm, No. 65

abc: 4.6204 4.6204 8.7957
angles: 90.00 90.00 90.17
Element x y z (fractional)
Hg (0.0000, 0.0000, 0.5000)
Hg (0.5000, 0.0000, 0.7545)
Pm (0.0000, 0.0000, 0.0000)
Hg (0.5000, 0.0000, 0.2455)
Hg (0.0000, 0.5000, 0.2455)
Er (0.5000, 0.5000, 0.5000)
Hg (0.0000, 0.5000, 0.7545)



Record 19
Below is a geometry-optimized La4AuSe3 structure, with properties calculated at the PBE-GGA level.

Calculated values
N(E_F): 0.754 states/eV per atom
ρ: 7.08 g/cm3
Formation energy (no corrections): -161.58 kJ/mol of atoms
M_tot: 0.000 μB/atom
Space group: P2/c, No. 13

abc: 7.4793 7.5734 8.6864
angles: 90.00 90.00 109.45
Element x y z (fractional)
La (0.5029, 0.2496, 0.3768)
Se (0.7500, 0.5000, 0.6220)
La (0.5005, 0.2551, 0.8728)
Au (0.7500, 0.0000, 0.8760)
Se (0.2500, 0.5000, 0.8731)
Se (0.7500, 0.0000, 0.3751)
La (0.0005, 0.2551, 0.1272)
La (0.9971, 0.7504, 0.3768)
La (0.0029, 0.2496, 0.6232)
La (0.4995, 0.7449, 0.1272)
La (0.9995, 0.7449, 0.8728)
Au (0.2500, 0.0000, 0.1240)
Se (0.2500, 0.0000, 0.6249)
La (0.4971, 0.7504, 0.6232)
Se (0.7500, 0.5000, 0.1269)
Se (0.2500, 0.5000, 0.3780)



Record 20
Below is a geometry-optimized ZrTi2AlSn structure, with properties calculated at the PBE-GGA level.

Calculated values
E_tot: -5.542 eV per atom
N(E_F): 0.920 states/eV per atom
ρ: 4.23 g/cm3
M_tot: 0.205 μB/atom
Space group: P4/mmm, No. 123

abc: 4.9685 5.2900 4.9685
angles: 90.00 90.00 90.00
Site moments in Bohr magnetons follow the coordinates.
Element x y z (fractional)
Zr (0.0000, 0.5000, 0.0000)  0.04
Ti (0.5000, 0.0000, 0.0000)  0.48
Ti (0.0000, 0.0000, 0.5000)  0.33
Sn (0.0000, 0.0000, 0.0000)  -0.02
Al (0.5000, 0.5000, 0.5000)  -0.02